Computed, not measured: RbTl2S2 after structural relaxation at the PBEsol level of DFT.

Cell lengths 4.522, 4.522, 7.472 Å; angles 107.61, 107.61, 90.00 degrees
Fractional coordinates of all 5 atoms:
Tl1 0.250 0.750 0.500
Tl2 0.750 0.250 0.500
S1 0.422 0.422 0.843
S2 0.578 0.578 0.157
Rb1 0.000 0.000 0.000

Summary:
final energy: -3.45 eV/atom
crystal system: tetragonal
formation energy without anion corrections: -442 meV per atom


Computed, not measured: RbTlS3 after structural relaxation at the PBEsol level of DFT.

Cell lengths 5.165, 5.165, 5.165 Å; angles 90.00, 90.00, 90.00 degrees
Fractional coordinates of all 5 atoms:
Tl1 0.000 0.000 0.000
S1 0.000 0.500 0.000
S2 0.000 0.000 0.500
S3 0.500 0.000 0.000
Rb1 0.500 0.500 0.500

Summary:
final energy: -3.34 eV/atom
crystal system: cubic
formation energy without anion corrections: 25 meV per atom


Computed, not measured: RbTl2S2 after structural relaxation at the PBEsol level of DFT.

Cell lengths 5.280, 5.280, 6.250 Å; angles 114.99, 114.99, 90.00 degrees
Fractional coordinates of all 5 atoms:
Tl1 0.349 0.349 0.699
Tl2 0.651 0.651 0.301
S1 0.250 0.750 0.500
S2 0.750 0.250 0.500
Rb1 0.000 0.000 0.000

Summary:
final energy: -3.49 eV/atom
crystal system: tetragonal
formation energy without anion corrections: -481 meV per atom


Computed, not measured: Rb3VS4 after structural relaxation at the PBEsol level of DFT.

Cell lengths 9.325, 9.350, 10.826 Å; angles 90.00, 90.00, 90.00 degrees
Fractional coordinates of all 32 atoms:
Rb1 0.952 0.208 0.457
Rb2 0.548 0.708 0.543
Rb3 0.452 0.292 0.043
Rb4 0.048 0.792 0.957
Rb5 0.048 0.792 0.543
Rb6 0.452 0.292 0.457
Rb7 0.548 0.708 0.957
Rb8 0.952 0.208 0.043
Rb9 0.855 0.413 0.750
Rb10 0.645 0.913 0.250
Rb11 0.355 0.087 0.750
Rb12 0.145 0.587 0.250
V1 0.221 0.016 0.250
V2 0.279 0.516 0.750
V3 0.721 0.484 0.250
V4 0.779 0.984 0.750
S1 0.206 0.245 0.250
S2 0.294 0.745 0.750
S3 0.706 0.255 0.250
S4 0.794 0.755 0.750
S5 0.992 0.072 0.750
S6 0.508 0.572 0.250
S7 0.492 0.428 0.750
S8 0.008 0.928 0.250
S9 0.668 0.050 0.586
S10 0.832 0.550 0.414
S11 0.168 0.450 0.914
S12 0.332 0.950 0.086
S13 0.332 0.950 0.414
S14 0.168 0.450 0.586
S15 0.832 0.550 0.086
S16 0.668 0.050 0.914

Summary:
final energy: -4.96 eV/atom
crystal system: orthorhombic
formation energy without anion corrections: -1178 meV per atom


Computed, not measured: RbW3S after structural relaxation at the PBEsol level of DFT.

Cell lengths 4.670, 4.670, 4.670 Å; angles 90.00, 90.00, 90.00 degrees
Fractional coordinates of all 5 atoms:
S1 0.500 0.500 0.500
Rb1 0.000 0.000 0.000
W1 0.000 0.500 0.000
W2 0.000 0.000 0.500
W3 0.500 0.000 0.000

Summary:
final energy: -5.11 eV/atom
crystal system: cubic
formation energy without anion corrections: 4260 meV per atom


Computed, not measured: Rb2WS4 after structural relaxation at the PBEsol level of DFT.

Cell lengths 6.929, 9.673, 12.321 Å; angles 90.00, 90.00, 90.00 degrees
Fractional coordinates of all 28 atoms:
Rb1 0.750 0.843 0.108
Rb2 0.250 0.157 0.892
Rb3 0.750 0.343 0.392
Rb4 0.250 0.657 0.608
Rb5 0.750 0.041 0.666
Rb6 0.250 0.959 0.334
Rb7 0.750 0.541 0.834
Rb8 0.250 0.459 0.166
W1 0.750 0.253 0.073
W2 0.250 0.747 0.927
W3 0.750 0.753 0.427
W4 0.250 0.247 0.573
S1 0.750 0.476 0.109
S2 0.250 0.524 0.891
S3 0.750 0.976 0.391
S4 0.250 0.024 0.609
S5 0.995 0.844 0.855
S6 0.495 0.156 0.145
S7 0.505 0.344 0.645
S8 0.005 0.656 0.355
S9 0.005 0.156 0.145
S10 0.505 0.844 0.855
S11 0.495 0.656 0.355
S12 0.995 0.344 0.645
S13 0.250 0.285 0.398
S14 0.750 0.715 0.602
S15 0.250 0.785 0.102
S16 0.750 0.215 0.898

Summary:
final energy: -5.74 eV/atom
crystal system: orthorhombic
formation energy without anion corrections: -966 meV per atom


Computed, not measured: RbW3S after structural relaxation at the PBEsol level of DFT.

Cell lengths 4.570, 4.570, 4.570 Å; angles 90.00, 90.00, 90.00 degrees
Fractional coordinates of all 5 atoms:
S1 0.000 0.000 0.000
Rb1 0.500 0.500 0.500
W1 0.000 0.500 0.000
W2 0.000 0.000 0.500
W3 0.500 0.000 0.000

Summary:
final energy: -7.66 eV/atom
crystal system: cubic
formation energy without anion corrections: 1706 meV per atom


Computed, not measured: RbZrS3 after structural relaxation at the PBEsol level of DFT.

Cell lengths 5.089, 5.089, 5.089 Å; angles 90.00, 90.00, 90.00 degrees
Each line ends with the local moment (μB).
Fractional coordinates of all 5 atoms:
S1 0.000 0.500 0.000  -0.16
S2 0.000 0.000 0.500  -0.16
S3 0.500 0.000 0.000  -0.16
Rb1 0.000 0.000 0.000  -0.05
Zr1 0.500 0.500 0.500  0.91

Summary:
final energy: -3.50 eV/atom
crystal system: cubic
formation energy without anion corrections: 1149 meV per atom


Computed, not measured: RbZrS3 after structural relaxation at the PBEsol level of DFT.

Cell lengths 5.009, 5.009, 5.009 Å; angles 90.00, 90.00, 90.00 degrees
Fractional coordinates of all 5 atoms:
S1 0.000 0.500 0.000
S2 0.000 0.000 0.500
S3 0.500 0.000 0.000
Rb1 0.500 0.500 0.500
Zr1 0.000 0.000 0.000

Summary:
final energy: -5.89 eV/atom
crystal system: cubic
formation energy without anion corrections: -1233 meV per atom


Computed, not measured: RbSb after structural relaxation at the PBEsol level of DFT.

Cell lengths 7.147, 7.343, 12.658 Å; angles 82.13, 90.00, 90.00 degrees
Fractional coordinates of all 16 atoms:
Rb1 0.902 0.117 0.168
Rb2 0.402 0.383 0.332
Rb3 0.098 0.883 0.832
Rb4 0.598 0.617 0.668
Rb5 0.669 0.712 0.032
Rb6 0.169 0.788 0.468
Rb7 0.331 0.288 0.968
Rb8 0.831 0.212 0.532
Sb1 0.404 0.957 0.215
Sb2 0.904 0.543 0.285
Sb3 0.596 0.043 0.785
Sb4 0.096 0.457 0.715
Sb5 0.669 0.798 0.372
Sb6 0.169 0.702 0.128
Sb7 0.331 0.202 0.628
Sb8 0.831 0.298 0.872

Summary:
final energy: -3.20 eV/atom
crystal system: monoclinic
formation energy without anion corrections: -413 meV per atom


Computed, not measured: RbSb after structural relaxation at the PBEsol level of DFT.

Cell lengths 7.199, 7.287, 12.747 Å; angles 90.00, 90.00, 90.00 degrees
Fractional coordinates of all 16 atoms:
Rb1 0.828 0.348 0.711
Rb2 0.328 0.152 0.289
Rb3 0.172 0.848 0.789
Rb4 0.672 0.652 0.211
Rb5 0.093 0.600 0.418
Rb6 0.593 0.900 0.582
Rb7 0.907 0.100 0.082
Rb8 0.407 0.400 0.918
Sb1 0.590 0.447 0.465
Sb2 0.090 0.053 0.535
Sb3 0.410 0.947 0.035
Sb4 0.910 0.553 0.965
Sb5 0.327 0.330 0.621
Sb6 0.827 0.170 0.379
Sb7 0.673 0.830 0.879
Sb8 0.173 0.670 0.121

Summary:
final energy: -3.20 eV/atom
crystal system: orthorhombic
formation energy without anion corrections: -412 meV per atom


Computed, not measured: Rb3Sb after structural relaxation at the PBEsol level of DFT.

Cell lengths 6.171, 6.171, 6.171 Å; angles 60.00, 60.00, 60.00 degrees
Fractional coordinates of all 4 atoms:
Sb1 0.500 0.500 0.500
Rb1 0.000 0.000 0.000
Rb2 0.250 0.250 0.250
Rb3 0.750 0.750 0.750

Summary:
final energy: -2.25 eV/atom
crystal system: cubic
formation energy without anion corrections: -342 meV per atom


Computed, not measured: RbSb2 after structural relaxation at the PBEsol level of DFT.

Cell lengths 4.156, 7.244, 8.491 Å; angles 103.53, 90.00, 106.67 degrees
Fractional coordinates of all 6 atoms:
Sb1 0.563 0.126 0.317
Sb2 0.904 0.808 0.892
Sb3 0.096 0.192 0.108
Sb4 0.437 0.874 0.683
Rb1 0.833 0.667 0.302
Rb2 0.167 0.333 0.698

Summary:
final energy: -3.65 eV/atom
crystal system: monoclinic
formation energy without anion corrections: -268 meV per atom


Computed, not measured: Rb3Sb after structural relaxation at the PBEsol level of DFT.

Cell lengths 6.272, 6.272, 11.105 Å; angles 90.00, 90.00, 120.00 degrees
Fractional coordinates of all 8 atoms:
Sb1 0.333 0.667 0.250
Sb2 0.667 0.333 0.750
Rb1 0.000 0.000 0.250
Rb2 0.000 0.000 0.750
Rb3 0.333 0.667 0.918
Rb4 0.667 0.333 0.418
Rb5 0.667 0.333 0.082
Rb6 0.333 0.667 0.582

Summary:
final energy: -2.27 eV/atom
crystal system: hexagonal
formation energy without anion corrections: -363 meV per atom


Computed, not measured: RbSc2Sb2 after structural relaxation at the PBEsol level of DFT.

Cell lengths 4.830, 4.830, 7.871 Å; angles 107.87, 107.87, 90.00 degrees
Each line ends with the local moment (μB).
Fractional coordinates of all 5 atoms:
Sc1 0.250 0.750 0.500  0.24
Sc2 0.750 0.250 0.500  0.24
Sb1 0.359 0.359 0.718  -0.02
Sb2 0.641 0.641 0.282  -0.02
Rb1 0.000 0.000 0.000  0.00

Summary:
final energy: -5.33 eV/atom
crystal system: tetragonal
formation energy without anion corrections: -663 meV per atom


Computed, not measured: RbSc3Sb after structural relaxation at the PBEsol level of DFT.

Cell lengths 5.552, 5.552, 5.552 Å; angles 90.00, 90.00, 90.00 degrees
Each line ends with the local moment (μB).
Fractional coordinates of all 5 atoms:
Sc1 0.000 0.500 0.000  0.63
Sc2 0.000 0.000 0.500  0.63
Sc3 0.500 0.000 0.000  0.63
Sb1 0.000 0.000 0.000  -0.01
Rb1 0.500 0.500 0.500  0.06

Summary:
final energy: -4.74 eV/atom
crystal system: cubic
formation energy without anion corrections: 343 meV per atom


Computed, not measured: RbSc2Sb after structural relaxation at the PBEsol level of DFT.

Cell lengths 5.621, 5.621, 10.872 Å; angles 104.98, 104.98, 90.00 degrees
Each line ends with the local moment (μB).
Fractional coordinates of all 8 atoms:
Sc1 0.625 0.875 0.750  0.60
Sc2 0.125 0.875 0.750  0.60
Sc3 0.125 0.875 0.250  0.60
Sc4 0.125 0.375 0.250  0.60
Sb1 0.000 0.000 0.000  -0.02
Sb2 0.250 0.750 0.500  -0.02
Rb1 0.500 0.500 0.000  0.03
Rb2 0.750 0.250 0.500  0.03

Summary:
final energy: -4.40 eV/atom
crystal system: tetragonal
formation energy without anion corrections: 294 meV per atom


Computed, not measured: RbTaSb2Se after structural relaxation at the PBEsol level of DFT.

Cell lengths 5.017, 5.664, 5.664 Å; angles 90.00, 90.00, 90.00 degrees
Each line ends with the local moment (μB).
Fractional coordinates of all 5 atoms:
Sb1 0.000 0.000 0.500  -0.05
Sb2 0.000 0.500 0.000  -0.05
Se1 0.500 0.500 0.500  -0.07
Rb1 0.000 0.000 0.000  0.04
Ta1 0.500 0.000 0.000  0.78

Summary:
final energy: -2.85 eV/atom
crystal system: tetragonal
formation energy without anion corrections: 2463 meV per atom


Computed, not measured: Rb2TcSbSe after structural relaxation at the PBEsol level of DFT.

Cell lengths 5.004, 6.172, 6.172 Å; angles 90.00, 90.00, 90.00 degrees
Each line ends with the local moment (μB).
Fractional coordinates of all 5 atoms:
Sb1 0.500 0.000 0.000  -0.08
Se1 0.500 0.500 0.500  0.07
Tc1 0.000 0.000 0.000  2.16
Rb1 0.000 0.000 0.500  0.04
Rb2 0.000 0.500 0.000  0.04

Summary:
final energy: -3.71 eV/atom
crystal system: tetragonal
formation energy without anion corrections: 633 meV per atom


Computed, not measured: Rb2SiSb2 after structural relaxation at the PBEsol level of DFT.

Cell lengths 5.871, 7.463, 7.463 Å; angles 90.00, 90.00, 90.00 degrees
Fractional coordinates of all 10 atoms:
Sb1 0.000 0.362 0.862
Sb2 0.000 0.862 0.638
Sb3 0.000 0.638 0.138
Sb4 0.000 0.138 0.362
Si1 0.000 0.000 0.000
Si2 0.000 0.500 0.500
Rb1 0.500 0.173 0.673
Rb2 0.500 0.673 0.827
Rb3 0.500 0.827 0.327
Rb4 0.500 0.327 0.173

Summary:
final energy: -3.44 eV/atom
crystal system: tetragonal
formation energy without anion corrections: -55 meV per atom


no.,size of the total moment (μB/f.u.)
1,0.000
2,0.001
3,0.000
4,0.000
5,0.000
6,0.000
7,0.000
8,0.559
9,0.000
10,0.000
11,0.000
12,0.001
13,0.000
14,0.000
15,0.694
16,3.905
17,2.166
18,0.871
19,2.647
20,0.000